# Pm6CdGa5 | Alexandria via LeMat-Bulk | PBE | relaxed
# DFT formation energy = -526 meV/atom
# DOS at the Fermi energy = 7.9 states/eV/f.u.
# uncorrected energy = -0.31154 Ry/atom
data_Pm6CdGa5
_symmetry_space_group_name_H-M 'C m m m'
_symmetry_Int_Tables_number 65
_symmetry_space_group_name_Hall '-C 2 2'
_cell_length_a 5.2381
_cell_length_b 15.7144
_cell_length_c 7.3794
_cell_angle_alpha 90.00
_cell_angle_beta 90.00
_cell_angle_gamma 90.00
loop_
_atom_site_label
_atom_site_type_symbol
_atom_site_fract_x
_atom_site_fract_y
_atom_site_fract_z
_atom_site_occupancy
Pm1 Pm 0.0000 0.0000 0.2437 1
Pm2 Pm 0.0000 0.3301 0.2483 1
Cd1 Cd 0.0000 0.5000 0.5000 1
Ga1 Ga 0.0000 0.1608 0.5000 1
Ga2 Ga 0.0000 0.1654 0.0000 1
Ga3 Ga 0.0000 0.5000 0.0000 1

# B2C | Alexandria via LeMat-Bulk | PBE | relaxed
# DFT formation energy = 335 meV/atom
# DOS at the Fermi energy = 0.2 states/eV/f.u.
# uncorrected energy = -0.52853 Ry/atom
data_B2C
_symmetry_space_group_name_H-M 'C 1 2/m 1'
_symmetry_Int_Tables_number 12
_symmetry_space_group_name_Hall '-C 2y'
_cell_length_a 8.4555
_cell_length_b 2.4608
_cell_length_c 8.1876
_cell_angle_alpha 90.00
_cell_angle_beta 111.63
_cell_angle_gamma 90.00
loop_
_atom_site_label
_atom_site_type_symbol
_atom_site_fract_x
_atom_site_fract_y
_atom_site_fract_z
_atom_site_occupancy
B1 B 0.0363 0.0000 0.1173 1
B2 B 0.0742 0.0000 0.7116 1
B3 B 0.1895 0.0000 0.9249 1
B4 B 0.1951 0.5000 0.2412 1
C1 C 0.0174 0.5000 0.4172 1
C2 C 0.2059 0.5000 0.4465 1

# YSb2Rh2 | Alexandria via LeMat-Bulk | PBE | relaxed
# DOS at the Fermi energy = 4.1 states/eV/f.u.
# formation energy (no corrections) = -2.09 eV per formula unit
# uncorrected energy = -0.46303 Ry/atom
data_YSb2Rh2
_symmetry_space_group_name_H-M 'P 4/m b m'
_symmetry_Int_Tables_number 127
_symmetry_space_group_name_Hall '-P 4 2ab'
_cell_length_a 7.9284
_cell_length_b 7.9284
_cell_length_c 3.2304
_cell_angle_alpha 90.00
_cell_angle_beta 90.00
_cell_angle_gamma 90.00
loop_
_atom_site_label
_atom_site_type_symbol
_atom_site_fract_x
_atom_site_fract_y
_atom_site_fract_z
_atom_site_occupancy
Y1 Y 0.0000 0.0000 0.0000 1
Sb1 Sb 0.1476 0.3524 0.0000 1
Rh1 Rh 0.1386 0.6386 0.5000 1

# V2TcB2 | Alexandria via LeMat-Bulk | PBE | relaxed
# DFT formation energy = 301 meV/atom
# DOS at the Fermi energy = 5.0 states/eV/f.u.
# uncorrected energy = -0.59467 Ry/atom
data_V2TcB2
_symmetry_space_group_name_H-M 'P 4/m b m'
_symmetry_Int_Tables_number 127
_symmetry_space_group_name_Hall '-P 4 2ab'
_cell_length_a 6.6697
_cell_length_b 6.6697
_cell_length_c 2.4341
_cell_angle_alpha 90.00
_cell_angle_beta 90.00
_cell_angle_gamma 90.00
loop_
_atom_site_label
_atom_site_type_symbol
_atom_site_fract_x
_atom_site_fract_y
_atom_site_fract_z
_atom_site_occupancy
V1 V 0.1269 0.3731 0.0000 1
Tc1 Tc 0.0000 0.0000 0.0000 1
B1 B 0.1730 0.6730 0.5000 1

# Tb3Sm3MgS8 | Alexandria via LeMat-Bulk | PBE | relaxed
# DOS at the Fermi energy = 3.4 states/eV/f.u.
# formation energy (no corrections) = -29.69 eV per formula unit
# uncorrected energy = -0.45254 Ry/atom
data_Tb3Sm3MgS8
_symmetry_space_group_name_H-M 'R -3 m'
_symmetry_Int_Tables_number 166
_symmetry_space_group_name_Hall '-R 3 2"'
_cell_length_a 7.8696
_cell_length_b 7.8696
_cell_length_c 19.4324
_cell_angle_alpha 90.00
_cell_angle_beta 90.00
_cell_angle_gamma 120.00
loop_
_atom_site_label
_atom_site_type_symbol
_atom_site_fract_x
_atom_site_fract_y
_atom_site_fract_z
_atom_site_occupancy
Tb1 Tb 0.0000 0.5000 0.0000 1
Sm1 Sm 0.0000 0.5000 0.5000 1
Mg1 Mg 0.0000 0.0000 0.0000 1
S1 S 0.0000 0.0000 0.2525 1
S2 S 0.0115 0.5057 0.7448 1

# MnCo2Cu | Alexandria via LeMat-Bulk | PBE | relaxed
# DFT formation energy = 189 meV/atom
# DOS at the Fermi energy = 6.8 states/eV/f.u.
# uncorrected energy = -0.49096 Ry/atom
data_MnCo2Cu
_symmetry_space_group_name_H-M 'F m -3 m'
_symmetry_Int_Tables_number 225
_symmetry_space_group_name_Hall '-F 4 2 3'
_cell_length_a 5.6907
_cell_length_b 5.6907
_cell_length_c 5.6907
_cell_angle_alpha 90.00
_cell_angle_beta 90.00
_cell_angle_gamma 90.00
loop_
_atom_site_label
_atom_site_type_symbol
_atom_site_fract_x
_atom_site_fract_y
_atom_site_fract_z
_atom_site_occupancy
Mn1 Mn 0.0000 0.0000 0.0000 1
Co1 Co 0.2500 0.2500 0.2500 1
Cu1 Cu 0.0000 0.0000 0.5000 1

# Zr6BiPb | Alexandria via LeMat-Bulk | PBE | relaxed
# DFT formation energy = -196 meV/atom
# DOS at the Fermi energy = 6.7 states/eV/f.u.
# uncorrected energy = -0.55534 Ry/atom
data_Zr6BiPb
_symmetry_space_group_name_H-M 'A m m 2'
_symmetry_Int_Tables_number 38
_symmetry_space_group_name_Hall 'A 2 -2'
_cell_length_a 5.2425
_cell_length_b 6.7842
_cell_length_c 10.4180
_cell_angle_alpha 90.00
_cell_angle_beta 90.00
_cell_angle_gamma 90.00
loop_
_atom_site_label
_atom_site_type_symbol
_atom_site_fract_x
_atom_site_fract_y
_atom_site_fract_z
_atom_site_occupancy
Zr1 Zr 0.0000 0.0000 0.0000 1
Zr2 Zr 0.0000 0.2313 0.7257 1
Zr3 Zr 0.5000 0.0000 0.2585 1
Zr4 Zr 0.5000 0.2315 0.5321 1
Bi1 Bi 0.0000 0.0000 0.4607 1
Pb1 Pb 0.5000 0.0000 0.7972 1

# MnAs | Alexandria via LeMat-Bulk | PBE | relaxed
# DFT formation energy = 177 meV/atom
# DOS at the Fermi energy = 1.7 states/eV/f.u.
# uncorrected energy = -0.49482 Ry/atom
data_MnAs
_symmetry_space_group_name_H-M 'F -4 3 m'
_symmetry_Int_Tables_number 216
_symmetry_space_group_name_Hall 'F -4 2 3'
_cell_length_a 5.6734
_cell_length_b 5.6734
_cell_length_c 5.6734
_cell_angle_alpha 90.00
_cell_angle_beta 90.00
_cell_angle_gamma 90.00
loop_
_atom_site_label
_atom_site_type_symbol
_atom_site_fract_x
_atom_site_fract_y
_atom_site_fract_z
_atom_site_occupancy
Mn1 Mn 0.0000 0.0000 0.0000 1
As1 As 0.2500 0.2500 0.7500 1

# Er4HgRh | Alexandria via LeMat-Bulk | PBE | relaxed
# DFT formation energy = -561 meV/atom
# DOS at the Fermi energy = 4.0 states/eV/f.u.
# uncorrected energy = -0.35854 Ry/atom
data_Er4HgRh
_symmetry_space_group_name_H-M 'F -4 3 m'
_symmetry_Int_Tables_number 216
_symmetry_space_group_name_Hall 'F -4 2 3'
_cell_length_a 13.4213
_cell_length_b 13.4213
_cell_length_c 13.4213
_cell_angle_alpha 90.00
_cell_angle_beta 90.00
_cell_angle_gamma 90.00
loop_
_atom_site_label
_atom_site_type_symbol
_atom_site_fract_x
_atom_site_fract_y
_atom_site_fract_z
_atom_site_occupancy
Er1 Er 0.0000 0.0000 0.1867 1
Er2 Er 0.0609 0.2500 0.2500 1
Er3 Er 0.1019 0.1019 0.6019 1
Hg1 Hg 0.1649 0.1649 0.8351 1
Rh1 Rh 0.1068 0.1068 0.3932 1

# RbPmI3 | Alexandria via LeMat-Bulk | PBE | relaxed
# DOS at the Fermi energy = 2.2 states/eV/f.u.
# formation energy (no corrections) = -6.72 eV per formula unit
# uncorrected energy = -0.25122 Ry/atom
data_RbPmI3
_symmetry_space_group_name_H-M 'P -1'
_symmetry_Int_Tables_number 2
_symmetry_space_group_name_Hall '-P 1'
_cell_length_a 7.0854
_cell_length_b 8.9218
_cell_length_c 8.9313
_cell_angle_alpha 60.38
_cell_angle_beta 84.70
_cell_angle_gamma 77.10
loop_
_atom_site_label
_atom_site_type_symbol
_atom_site_fract_x
_atom_site_fract_y
_atom_site_fract_z
_atom_site_occupancy
Rb1 Rb 0.2323 0.2603 0.4093 1
Pm1 Pm 0.0000 0.0000 0.0000 1
Pm2 Pm 0.5000 0.0000 0.0000 1
I1 I 0.1759 0.3459 0.7945 1
I2 I 0.2495 0.8641 0.3417 1
I3 I 0.3233 0.8053 0.8459 1

# Y3Zn2Pt6 | Alexandria via LeMat-Bulk | PBE | relaxed
# DFT formation energy = -965 meV/atom
# DOS at the Fermi energy = 4.2 states/eV/f.u.
# uncorrected energy = -0.45973 Ry/atom
data_Y3Zn2Pt6
_symmetry_space_group_name_H-M 'I m -3 m'
_symmetry_Int_Tables_number 229
_symmetry_space_group_name_Hall '-I 4 2 3'
_cell_length_a 9.5389
_cell_length_b 9.5389
_cell_length_c 9.5389
_cell_angle_alpha 90.00
_cell_angle_beta 90.00
_cell_angle_gamma 90.00
loop_
_atom_site_label
_atom_site_type_symbol
_atom_site_fract_x
_atom_site_fract_y
_atom_site_fract_z
_atom_site_occupancy
Y1 Y 0.0000 0.0000 0.3036 1
Zn1 Zn 0.2500 0.2500 0.2500 1
Pt1 Pt 0.0000 0.3276 0.3276 1

# SbTe2MoSe | Alexandria via LeMat-Bulk | PBE | relaxed
# DOS at the Fermi energy = 4.7 states/eV/f.u.
# formation energy (no corrections) = 2.36 eV per formula unit
# uncorrected energy = -0.32874 Ry/atom
data_SbTe2MoSe
_symmetry_space_group_name_H-M 'P 4/m m m'
_symmetry_Int_Tables_number 123
_symmetry_space_group_name_Hall '-P 4 2'
_cell_length_a 5.1729
_cell_length_b 5.1729
_cell_length_c 5.3458
_cell_angle_alpha 90.00
_cell_angle_beta 90.00
_cell_angle_gamma 90.00
loop_
_atom_site_label
_atom_site_type_symbol
_atom_site_fract_x
_atom_site_fract_y
_atom_site_fract_z
_atom_site_occupancy
Sb1 Sb 0.0000 0.0000 0.0000 1
Te1 Te 0.0000 0.5000 0.5000 1
Mo1 Mo 0.0000 0.0000 0.5000 1
Se1 Se 0.5000 0.5000 0.0000 1

Which of these has the lowest DOS at the Fermi energy?
B2C